The following is a DFT calculation (PBEsol) of an optimized crystal structure of NiIr2Pt.

POSCAR file:
```
NiIr2Pt
1.0
2.703 0.000 0.000
0.000 2.703 0.000
0.000 0.000 7.345
Ni Ir Pt
1 2 1
Direct
0.000 0.000 0.000
0.000 0.000 0.516
0.500 0.500 0.767
0.500 0.500 0.244
```

Computed properties:
D(E_F) in states/eV per cell: 4.63
Space group: P4mm, No. 99
DFT formation energy in kJ per mole of atoms: 0
Offset from the most stable computed form in eV/f.u.: 0.000
Energy in eV/cell: -32.79
Crystal system: tetragonal
Spin magnetization in μB per formula unit: 0.00